A relaxed MnPb2S4 crystal. Source: the Alexandria database, functional PBE.

```
data_MnPb2S4
_chemical_formula_sum 'Mn2 Pb4 S8'
_space_group_name_H-M_alt 'I 4/m m m'
_space_group_IT_number 139
_space_group_name_Hall '-I 4 2'
_cell_length_a 4.5716
_cell_length_b 4.5716
_cell_length_c 14.9595
_cell_angle_alpha 90.00
_cell_angle_beta 90.00
_cell_angle_gamma 90.00
loop_
_atom_site_label
_atom_site_type_symbol
_atom_site_fract_x
_atom_site_fract_y
_atom_site_fract_z
Mn1 Mn 0.0000 0.0000 0.0000
Pb1 Pb 0.0000 0.0000 0.3548
S1 S 0.0000 0.0000 0.1621
S2 S 0.0000 0.5000 0.0000
```

Values from the calculation:
- crystal system = tetragonal

***

A relaxed Mn4PbS8 crystal. Source: the Alexandria database, functional PBE.

```
data_Mn4PbS8
_chemical_formula_sum 'Mn12 Pb3 S24'
_space_group_name_H-M_alt 'R -3 m'
_space_group_IT_number 166
_space_group_name_Hall '-R 3 2"'
_cell_length_a 6.7300
_cell_length_b 6.7300
_cell_length_c 21.0854
_cell_angle_alpha 90.00
_cell_angle_beta 90.00
_cell_angle_gamma 120.00
loop_
_atom_site_label
_atom_site_type_symbol
_atom_site_fract_x
_atom_site_fract_y
_atom_site_fract_z
Mn1 Mn 0.0000 0.0000 0.0000
Mn2 Mn 0.0000 0.5000 0.0000
Pb1 Pb 0.0000 0.0000 0.5000
S1 S 0.0000 0.0000 0.2712
S2 S 0.0017 0.5008 0.2710
```

Values from the calculation:
- crystal system = trigonal

***

A relaxed Mn2PbS crystal. Source: the Alexandria database, functional PBE.

```
data_Mn2PbS
_chemical_formula_sum 'Mn8 Pb4 S4'
_space_group_name_H-M_alt 'I -4 2 d'
_space_group_IT_number 122
_space_group_name_Hall 'I -4 2bw'
_cell_length_a 7.1286
_cell_length_b 7.1286
_cell_length_c 6.3959
_cell_angle_alpha 90.00
_cell_angle_beta 90.00
_cell_angle_gamma 90.00
loop_
_atom_site_label
_atom_site_type_symbol
_atom_site_fract_x
_atom_site_fract_y
_atom_site_fract_z
Mn1 Mn 0.1938 0.2500 0.1250
Pb1 Pb 0.0000 0.0000 0.5000
S1 S 0.0000 0.0000 0.0000
```

Values from the calculation:
- crystal system = tetragonal
- energy above the lowest structure with this stoichiometry (meV per atom) = 0

***

A relaxed Mn2PbS crystal. Source: the Alexandria database, functional PBE.

```
data_Mn2PbS
_chemical_formula_sum 'Mn8 Pb4 S4'
_space_group_name_H-M_alt 'F m -3 m'
_space_group_IT_number 225
_space_group_name_Hall '-F 4 2 3'
_cell_length_a 6.6314
_cell_length_b 6.6314
_cell_length_c 6.6314
_cell_angle_alpha 90.00
_cell_angle_beta 90.00
_cell_angle_gamma 90.00
loop_
_atom_site_label
_atom_site_type_symbol
_atom_site_fract_x
_atom_site_fract_y
_atom_site_fract_z
Mn1 Mn 0.2500 0.2500 0.2500
Pb1 Pb 0.0000 0.0000 0.0000
S1 S 0.0000 0.0000 0.5000
```

Values from the calculation:
- crystal system = cubic
- energy above the lowest structure with this stoichiometry (meV per atom) = 244

***

A relaxed MnPb2S crystal. Source: the Alexandria database, functional PBE.

```
data_MnPb2S
_chemical_formula_sum 'Mn4 Pb8 S4'
_space_group_name_H-M_alt 'I -4 2 d'
_space_group_IT_number 122
_space_group_name_Hall 'I -4 2bw'
_cell_length_a 6.5710
_cell_length_b 6.5710
_cell_length_c 12.1251
_cell_angle_alpha 90.00
_cell_angle_beta 90.00
_cell_angle_gamma 90.00
loop_
_atom_site_label
_atom_site_type_symbol
_atom_site_fract_x
_atom_site_fract_y
_atom_site_fract_z
Mn1 Mn 0.0000 0.0000 0.0000
Pb1 Pb 0.2500 0.2500 0.1250
S1 S 0.0000 0.0000 0.5000
```

Values from the calculation:
- crystal system = tetragonal

***

A relaxed MnSb6Pb4S14 crystal. Source: the Alexandria database, functional PBE.

```
data_MnSb6Pb4S14
_chemical_formula_sum 'Mn2 Sb12 Pb8 S28'
_space_group_name_H-M_alt 'P 1 21/c 1'
_space_group_IT_number 14
_cell_length_a 4.0635
_cell_length_b 19.4890
_cell_length_c 16.1299
_cell_angle_alpha 90.00
_cell_angle_beta 93.48
_cell_angle_gamma 90.00
loop_
_space_group_symop_operation_xyz
'x,y,z'
'-x,-y,-z'
'-x,y+1/2,-z+1/2'
'x,-y+1/2,z+1/2'
loop_
_atom_site_label
_atom_site_type_symbol
_atom_site_fract_x
_atom_site_fract_y
_atom_site_fract_z
Mn1 Mn 0.0000 0.0000 0.0000
Sb1 Sb 0.3013 0.1601 0.3766
Sb2 Sb 0.3273 0.0565 0.6042
Sb3 Sb 0.3840 0.5565 0.3144
Pb1 Pb 0.0705 0.6398 0.6860
Pb2 Pb 0.1163 0.7459 0.9251
S1 S 0.0303 0.1018 0.0891
S2 S 0.0698 0.5083 0.7879
S3 S 0.1181 0.6056 0.9996
S4 S 0.1789 0.7002 0.2168
S5 S 0.3509 0.2292 0.9513
S6 S 0.3954 0.1651 0.6836
S7 S 0.4538 0.0474 0.9051
```

Values from the calculation:
- crystal system = monoclinic

***

A relaxed MnSn2PbS4 crystal. Source: the Alexandria database, functional PBE.

```
data_MnSn2PbS4
_chemical_formula_sum 'Mn1 Sn2 Pb1 S4'
_space_group_name_H-M_alt 'P 1 2/m 1'
_space_group_IT_number 10
_cell_length_a 6.9813
_cell_length_b 4.0440
_cell_length_c 7.0419
_cell_angle_alpha 90.00
_cell_angle_beta 109.05
_cell_angle_gamma 90.00
loop_
_space_group_symop_operation_xyz
'x,y,z'
'-x,-y,-z'
'-x,y,-z'
'x,-y,z'
loop_
_atom_site_label
_atom_site_type_symbol
_atom_site_fract_x
_atom_site_fract_y
_atom_site_fract_z
Mn1 Mn 0.0000 0.0000 0.0000
Sn1 Sn 0.5000 0.0000 0.5000
Sn2 Sn 0.5000 0.5000 0.0000
Pb1 Pb 0.0000 0.5000 0.5000
S1 S 0.2305 0.5000 0.2237
S2 S 0.2391 0.0000 0.7739
```

Values from the calculation:
- crystal system = monoclinic

***

A relaxed Mn3Sn2PbS8 crystal. Source: the Alexandria database, functional PBE.

```
data_Mn3Sn2PbS8
_chemical_formula_sum 'Mn9 Sn6 Pb3 S24'
_space_group_name_H-M_alt 'R 3 m'
_space_group_IT_number 160
_space_group_name_Hall 'R 3 -2"'
_cell_length_a 7.3860
_cell_length_b 7.3860
_cell_length_c 20.2778
_cell_angle_alpha 90.00
_cell_angle_beta 90.00
_cell_angle_gamma 120.00
loop_
_atom_site_label
_atom_site_type_symbol
_atom_site_fract_x
_atom_site_fract_y
_atom_site_fract_z
Mn1 Mn 0.0005 0.5003 0.0000
Sn1 Sn 0.0000 0.0000 0.1300
Sn2 Sn 0.0000 0.0000 0.5031
Pb1 Pb 0.0000 0.0000 0.8647
S1 S 0.0000 0.0000 0.2766
S2 S 0.0000 0.0000 0.7227
S3 S 0.0306 0.5153 0.2643
S4 S 0.1796 0.3592 0.0710
```

Values from the calculation:
- crystal system = trigonal

***

A relaxed SrMnPb2S4 crystal. Source: the Alexandria database, functional PBE.

```
data_SrMnPb2S4
_chemical_formula_sum 'Sr4 Mn4 Pb8 S16'
_space_group_name_H-M_alt 'C m c m'
_space_group_IT_number 63
_space_group_name_Hall '-C 2c 2'
_cell_length_a 4.1091
_cell_length_b 13.7403
_cell_length_c 14.7283
_cell_angle_alpha 90.00
_cell_angle_beta 90.00
_cell_angle_gamma 90.00
loop_
_atom_site_label
_atom_site_type_symbol
_atom_site_fract_x
_atom_site_fract_y
_atom_site_fract_z
Sr1 Sr 0.0000 0.1108 0.2500
Mn1 Mn 0.0000 0.1615 0.7500
Pb1 Pb 0.0000 0.3670 0.0495
S1 S 0.0000 0.0000 0.0000
S2 S 0.0000 0.2788 0.6320
S3 S 0.0000 0.4389 0.2500
```

Values from the calculation:
- crystal system = orthorhombic

***

A relaxed Sr2MnPbS4 crystal. Source: the Alexandria database, functional PBE.

```
data_Sr2MnPbS4
_chemical_formula_sum 'Sr8 Mn4 Pb4 S16'
_space_group_name_H-M_alt 'I m m a'
_space_group_IT_number 74
_space_group_name_Hall '-I 2b 2'
_cell_length_a 8.2377
_cell_length_b 8.3259
_cell_length_c 11.6842
_cell_angle_alpha 90.00
_cell_angle_beta 90.00
_cell_angle_gamma 90.00
loop_
_atom_site_label
_atom_site_type_symbol
_atom_site_fract_x
_atom_site_fract_y
_atom_site_fract_z
Sr1 Sr 0.0000 0.0000 0.0000
Sr2 Sr 0.2500 0.2500 0.2500
Mn1 Mn 0.0000 0.0000 0.5000
Pb1 Pb 0.2500 0.2500 0.7500
S1 S 0.0000 0.0016 0.2651
S2 S 0.2276 0.2500 0.4999
```

Values from the calculation:
- crystal system = orthorhombic

***

A relaxed TbMnPb2S5 crystal. Source: the Alexandria database, functional PBE.

```
data_TbMnPb2S5
_chemical_formula_sum 'Tb4 Mn4 Pb8 S20'
_space_group_name_H-M_alt 'C m c 21'
_space_group_IT_number 36
_cell_length_a 3.9957
_cell_length_b 17.7084
_cell_length_c 12.6053
_cell_angle_alpha 90.00
_cell_angle_beta 90.00
_cell_angle_gamma 90.00
loop_
_space_group_symop_operation_xyz
'x,y,z'
'-x,-y,z+1/2'
'-x,y,z'
'x,-y,z+1/2'
'x+1/2,y+1/2,z'
'-x+1/2,-y+1/2,z+1/2'
'-x+1/2,y+1/2,z'
'x+1/2,-y+1/2,z+1/2'
loop_
_atom_site_label
_atom_site_type_symbol
_atom_site_fract_x
_atom_site_fract_y
_atom_site_fract_z
Tb1 Tb 0.0000 0.1972 0.0000
Mn1 Mn 0.0000 0.4451 0.3971
Pb1 Pb 0.0000 0.1176 0.3026
Pb2 Pb 0.0000 0.1361 0.6461
S1 S 0.0000 0.0373 0.9833
S2 S 0.0000 0.2983 0.6486
S3 S 0.0000 0.3194 0.3493
S4 S 0.0000 0.3490 0.9881
S5 S 0.0000 0.4914 0.7442
```

Values from the calculation:
- crystal system = orthorhombic

***

A relaxed TbMnPbS4 crystal. Source: the Alexandria database, functional PBE.

```
data_TbMnPbS4
_chemical_formula_sum 'Tb2 Mn2 Pb2 S8'
_space_group_name_H-M_alt 'P 1 21/m 1'
_space_group_IT_number 11
_cell_length_a 6.6814
_cell_length_b 6.0999
_cell_length_c 8.2145
_cell_angle_alpha 90.00
_cell_angle_beta 107.58
_cell_angle_gamma 90.00
loop_
_space_group_symop_operation_xyz
'x,y,z'
'-x,-y,-z'
'-x,y+1/2,-z'
'x,-y+1/2,z'
loop_
_atom_site_label
_atom_site_type_symbol
_atom_site_fract_x
_atom_site_fract_y
_atom_site_fract_z
Tb1 Tb 0.2407 0.2500 0.0578
Mn1 Mn 0.2313 0.7500 0.8195
Pb1 Pb 0.2831 0.2500 0.5602
S1 S 0.0125 0.5079 0.2272
S2 S 0.4301 0.7500 0.6334
S3 S 0.4354 0.7500 0.0949
```

Values from the calculation:
- crystal system = monoclinic

***

A relaxed Ti4MnPbS8 crystal. Source: the Alexandria database, functional PBE.

```
data_Ti4MnPbS8
_chemical_formula_sum 'Ti12 Mn3 Pb3 S24'
_space_group_name_H-M_alt 'R 3 m'
_space_group_IT_number 160
_space_group_name_Hall 'R 3 -2"'
_cell_length_a 7.4734
_cell_length_b 7.4734
_cell_length_c 16.6234
_cell_angle_alpha 90.00
_cell_angle_beta 90.00
_cell_angle_gamma 120.00
loop_
_atom_site_label
_atom_site_type_symbol
_atom_site_fract_x
_atom_site_fract_y
_atom_site_fract_z
Ti1 Ti 0.0000 0.0000 0.0000
Ti2 Ti 0.0101 0.5050 0.1131
Mn1 Mn 0.0000 0.0000 0.6440
Pb1 Pb 0.0000 0.0000 0.1946
S1 S 0.0000 0.0000 0.3646
S2 S 0.0000 0.0000 0.8607
S3 S 0.0149 0.5074 0.3733
S4 S 0.2044 0.4089 0.2097
```

Values from the calculation:
- crystal system = trigonal

***

A relaxed Mn3TlPb2S8 crystal. Source: the Alexandria database, functional PBE.

```
data_Mn3TlPb2S8
_chemical_formula_sum 'Mn9 Tl3 Pb6 S24'
_space_group_name_H-M_alt 'R 3 m'
_space_group_IT_number 160
_space_group_name_Hall 'R 3 -2"'
_cell_length_a 6.7431
_cell_length_b 6.7431
_cell_length_c 24.5203
_cell_angle_alpha 90.00
_cell_angle_beta 90.00
_cell_angle_gamma 120.00
loop_
_atom_site_label
_atom_site_type_symbol
_atom_site_fract_x
_atom_site_fract_y
_atom_site_fract_z
Mn1 Mn 0.1930 0.3861 0.0000
Tl1 Tl 0.0000 0.0000 0.5319
Pb1 Pb 0.0000 0.0000 0.1324
Pb2 Pb 0.0000 0.0000 0.7864
S1 S 0.0000 0.0000 0.3941
S2 S 0.0000 0.0000 0.9568
S3 S 0.0211 0.5106 0.9450
S4 S 0.1752 0.3503 0.7189
```

Values from the calculation:
- crystal system = trigonal

***

A relaxed UMnPb2S5 crystal. Source: the Alexandria database, functional PBE.

```
data_UMnPb2S5
_chemical_formula_sum 'U4 Mn4 Pb8 S20'
_space_group_name_H-M_alt 'C m c 21'
_space_group_IT_number 36
_cell_length_a 4.0344
_cell_length_b 17.1049
_cell_length_c 12.9333
_cell_angle_alpha 90.00
_cell_angle_beta 90.00
_cell_angle_gamma 90.00
loop_
_space_group_symop_operation_xyz
'x,y,z'
'-x,-y,z+1/2'
'-x,y,z'
'x,-y,z+1/2'
'x+1/2,y+1/2,z'
'-x+1/2,-y+1/2,z+1/2'
'-x+1/2,y+1/2,z'
'x+1/2,-y+1/2,z+1/2'
loop_
_atom_site_label
_atom_site_type_symbol
_atom_site_fract_x
_atom_site_fract_y
_atom_site_fract_z
U1 U 0.0000 0.2095 0.0000
Mn1 Mn 0.0000 0.4436 0.4052
Pb1 Pb 0.0000 0.0981 0.6272
Pb2 Pb 0.0000 0.1220 0.2825
S1 S 0.0000 0.0516 0.0079
S2 S 0.0000 0.2802 0.6387
S3 S 0.0000 0.3070 0.3617
S4 S 0.0000 0.3654 0.9724
S5 S 0.0000 0.4953 0.7440
```

Values from the calculation:
- crystal system = orthorhombic

***

A relaxed MnV2PbS crystal. Source: the Alexandria database, functional PBE.

```
data_MnV2PbS
_chemical_formula_sum 'Mn1 V2 Pb1 S1'
_space_group_name_H-M_alt 'P 4/m m m'
_space_group_IT_number 123
_space_group_name_Hall '-P 4 2'
_cell_length_a 4.4281
_cell_length_b 4.4281
_cell_length_c 4.3189
_cell_angle_alpha 90.00
_cell_angle_beta 90.00
_cell_angle_gamma 90.00
loop_
_atom_site_label
_atom_site_type_symbol
_atom_site_fract_x
_atom_site_fract_y
_atom_site_fract_z
Mn1 Mn 0.0000 0.0000 0.0000
V1 V 0.0000 0.5000 0.5000
Pb1 Pb 0.5000 0.5000 0.0000
S1 S 0.0000 0.0000 0.5000
```

Values from the calculation:
- crystal system = tetragonal

***

A relaxed Mn2SbPb crystal. Source: the Alexandria database, functional PBE.

```
data_Mn2SbPb
_chemical_formula_sum 'Mn2 Sb1 Pb1'
_space_group_name_H-M_alt 'P 1 2/m 1'
_space_group_IT_number 10
_cell_length_a 3.5848
_cell_length_b 3.4036
_cell_length_c 6.9737
_cell_angle_alpha 90.00
_cell_angle_beta 101.56
_cell_angle_gamma 90.00
loop_
_space_group_symop_operation_xyz
'x,y,z'
'-x,-y,-z'
'-x,y,-z'
'x,-y,z'
loop_
_atom_site_label
_atom_site_type_symbol
_atom_site_fract_x
_atom_site_fract_y
_atom_site_fract_z
Mn1 Mn 0.0518 0.0000 0.1990
Sb1 Sb 0.5000 0.5000 0.0000
Pb1 Pb 0.5000 0.5000 0.5000
```

Values from the calculation:
- crystal system = monoclinic
- energy above the lowest structure with this stoichiometry (meV per atom) = 99

***

A relaxed Mn2SbPb crystal. Source: the Alexandria database, functional PBE.

```
data_Mn2SbPb
_chemical_formula_sum 'Mn4 Sb2 Pb2'
_space_group_name_H-M_alt 'I m m m'
_space_group_IT_number 71
_space_group_name_Hall '-I 2 2'
_cell_length_a 4.2370
_cell_length_b 5.1392
_cell_length_c 7.6483
_cell_angle_alpha 90.00
_cell_angle_beta 90.00
_cell_angle_gamma 90.00
loop_
_atom_site_label
_atom_site_type_symbol
_atom_site_fract_x
_atom_site_fract_y
_atom_site_fract_z
Mn1 Mn 0.0000 0.0000 0.2437
Sb1 Sb 0.0000 0.5000 0.5000
Pb1 Pb 0.0000 0.5000 0.0000
```

Values from the calculation:
- crystal system = orthorhombic
- energy above the lowest structure with this stoichiometry (meV per atom) = 130

***

A relaxed Mn3SbPb crystal. Source: the Alexandria database, functional PBE.

```
data_Mn3SbPb
_chemical_formula_sum 'Mn3 Sb1 Pb1'
_space_group_name_H-M_alt 'P m -3 m'
_space_group_IT_number 221
_space_group_name_Hall '-P 4 2 3'
_cell_length_a 4.9927
_cell_length_b 4.9927
_cell_length_c 4.9927
_cell_angle_alpha 90.00
_cell_angle_beta 90.00
_cell_angle_gamma 90.00
loop_
_atom_site_label
_atom_site_type_symbol
_atom_site_fract_x
_atom_site_fract_y
_atom_site_fract_z
Mn1 Mn 0.0000 0.0000 0.5000
Sb1 Sb 0.0000 0.0000 0.0000
Pb1 Pb 0.5000 0.5000 0.5000
```

Values from the calculation:
- crystal system = cubic
- energy above the lowest structure with this stoichiometry (meV per atom) = 0

***

A relaxed Mn2SbPb crystal. Source: the Alexandria database, functional PBE.

```
data_Mn2SbPb
_chemical_formula_sum 'Mn4 Sb2 Pb2'
_space_group_name_H-M_alt 'C 1 m 1'
_space_group_IT_number 8
_cell_length_a 10.8560
_cell_length_b 3.0857
_cell_length_c 5.1085
_cell_angle_alpha 90.00
_cell_angle_beta 104.74
_cell_angle_gamma 90.00
loop_
_space_group_symop_operation_xyz
'x,y,z'
'x,-y,z'
'x+1/2,y+1/2,z'
'x+1/2,-y+1/2,z'
loop_
_atom_site_label
_atom_site_type_symbol
_atom_site_fract_x
_atom_site_fract_y
_atom_site_fract_z
Mn1 Mn 0.0000 0.0000 0.0000
Mn2 Mn 0.2061 0.5000 0.3090
Sb1 Sb 0.2511 0.0000 0.8549
Pb1 Pb 0.4660 0.0000 0.4768
```

Values from the calculation:
- crystal system = monoclinic
- energy above the lowest structure with this stoichiometry (meV per atom) = 117

***

no.,raw total energy (eV per atom),raw formation energy (eV per atom)
1,-5.065,-0.337
2,-6.186,-0.539
3,-6.400,0.143
4,-6.156,0.388
5,-4.760,0.419
6,-4.635,-0.374
7,-5.074,-0.400
8,-5.593,-0.432
9,-5.236,-0.889
10,-5.336,-1.242
11,-5.555,-0.905
12,-5.854,-0.994
13,-6.493,-0.959
14,-5.352,-0.330
15,-6.192,-0.801
16,-6.979,0.070
17,-6.193,0.349
18,-6.161,0.381
19,-6.249,0.819
20,-6.175,0.368